{
  "formula": "Ce6AlRu",
  "functional": "PBE-GGA",
  "state": "optimized geometry",
  "ef_ev_per_atom": -0.06,
  "lattice_angstrom": [[3.825, -4.676, 0.000], [3.825, 4.676, 0.000], [-1.703, 0.000, 6.004]],
  "species": ["Ce", "Ce", "Ce", "Ce", "Ce", "Ce", "Al", "Ru"],
  "fractional_positions": [[0.077, 0.660, 0.696], [0.317, 0.317, 0.892], [0.340, 0.923, 0.304], [0.660, 0.077, 0.696], [0.683, 0.683, 0.108], [0.923, 0.340, 0.304], [0.500, 0.500, 0.500], [0.000, 0.000, 0.000]]
}